First-principles (PBE with a Hubbard U) data for MgNpNiO6 after structural relaxation, as listed in Alexandria via LeMat-Bulk.

Results
* E_tot: -7.1916 eV per atom

Cell and atoms, written as extended XYZ:
```
18
Lattice="-3.769 3.368 1.035 0.359 -4.380 2.703 5.467 4.233 6.133" Properties=species:S:1:pos:R:3 pbc="T T T"
Np -1.026 1.844 3.124
Np 3.083 1.378 6.746
O 3.567 1.175 4.803
O 2.633 1.517 8.704
O 1.214 2.000 6.331
Ni 1.707 3.960 6.190
O -0.466 3.769 2.948
O -2.920 2.421 2.761
Ni 0.350 -0.739 3.680
O 4.978 0.800 7.109
O -1.527 -0.101 3.261
Mg 2.733 2.117 3.067
O -0.576 1.704 1.167
O 2.523 -0.548 6.923
O 0.843 1.222 3.539
O -1.510 2.046 5.068
Mg 0.000 0.000 0.000
O 3.585 3.323 6.609
```



First-principles (PBE with a Hubbard U) data for MgNpNi2O6 after structural relaxation, as listed in Alexandria via LeMat-Bulk.

Results
* E_tot: -6.9372 eV per atom

Cell and atoms, written as extended XYZ:
```
20
Lattice="-1.965 2.389 4.344 0.853 -4.492 2.857 7.218 2.620 1.964" Properties=species:S:1:pos:R:3 pbc="T T T"
O 0.529 -0.028 5.910
O 5.375 -1.254 5.573
O 0.204 -2.136 3.488
Ni 0.968 -1.128 7.640
O 3.311 1.813 4.999
O 0.585 -0.168 1.512
O 5.577 0.545 3.254
Mg -0.982 1.195 2.172
Np 0.427 -2.246 1.428
Mg 4.036 -0.936 2.410
O 3.154 0.788 2.116
O 5.902 2.653 5.676
Ni 5.212 0.816 5.287
O 2.952 -0.270 7.048
Np 2.627 2.505 3.154
O 5.521 0.685 7.652
Ni 0.894 -0.299 3.878
Ni 5.138 1.645 1.524
O 2.795 -1.296 4.165
O 0.731 1.771 3.591
```



First-principles (PBE with a Hubbard U) data for Mg6NiO8 after structural relaxation, as listed in Alexandria via LeMat-Bulk.

Results
* E_tot: -5.7491 eV per atom

Cell and atoms, written as extended XYZ:
```
15
Lattice="-2.432 -3.233 4.370 3.381 -1.948 4.499 -0.638 2.345 5.437" Properties=species:S:1:pos:R:3 pbc="T T T"
Mg 1.372 0.199 4.968
O -1.256 -2.408 5.635
O 1.915 -1.707 5.705
Mg -1.216 -1.616 2.185
Mg 1.691 -0.974 2.249
O 0.588 -3.470 8.089
Mg -1.535 -0.444 4.904
O 1.567 -0.428 8.671
O -0.278 0.635 6.217
O 0.078 -0.709 3.576
O 0.233 -2.127 10.729
Mg -0.319 1.173 2.718
Mg 0.474 -2.590 4.435
O -1.604 -1.128 8.601
Ni 0.000 0.000 0.000
```



First-principles (PBE with a Hubbard U) data for MgNiO after structural relaxation, as listed in Alexandria via LeMat-Bulk.

Results
* E_tot: -4.0626 eV per atom

Cell and atoms, written as extended XYZ:
```
6
Lattice="-0.770 4.657 1.915 -3.258 4.133 -2.940 -4.364 -1.649 -2.875" Properties=species:S:1:pos:R:3 pbc="T T T"
Mg -4.484 1.705 -2.226
Ni -2.339 5.958 0.024
O -2.882 3.056 -2.138
Ni -4.160 4.658 -2.440
O -5.034 6.396 -2.282
Mg -3.222 3.303 -0.122
```



First-principles (PBE with a Hubbard U) data for MgNiO after structural relaxation, as listed in Alexandria via LeMat-Bulk.

Results
* E_tot: -4.2257 eV per atom

Cell and atoms, written as extended XYZ:
```
6
Lattice="-1.778 -2.256 0.634 0.794 -2.766 -0.698 3.957 -0.937 8.203" Properties=species:S:1:pos:R:3 pbc="T T T"
Ni -0.103 -2.648 2.160
O 3.593 -4.329 6.740
Mg 1.977 -3.970 3.480
O 2.840 -2.417 4.587
Mg 1.961 -3.124 6.386
Ni 0.526 -1.845 -0.303
```



First-principles (PBE with a Hubbard U) data for MgNiO after structural relaxation, as listed in Alexandria via LeMat-Bulk.

Results
* E_tot: -4.0227 eV per atom

Cell and atoms, written as extended XYZ:
```
12
Lattice="-0.940 -7.883 -6.757 4.887 0.751 -1.556 0.910 -1.809 1.983" Properties=species:S:1:pos:R:3 pbc="T T T"
Ni 3.497 -5.647 -4.696
Ni 1.360 -3.293 -1.634
Mg 1.601 -6.067 -2.218
Mg 3.256 -2.873 -4.112
Mg 3.240 -7.718 -6.500
Ni 0.450 -6.359 -5.973
O 2.444 0.376 -0.778
Ni 4.407 -2.581 -0.357
O 0.000 0.000 0.000
O -0.015 -4.846 -2.387
O 2.428 -4.470 -3.165
Mg 1.617 -1.222 0.170
```